DFT (PBE-GGA) results for a relaxed structure of Fe2NiMo. Values from VASP.

Results
* Fermi-level density of states: 4.1 states/eV per cell
* symmetry: Pmm2, No. 25
* total energy: -8.295 eV/atom
* density: 9.050 g cm⁻³
* ΔE_f: 0.0899 eV/atom

```
&SYSTEM
  ibrav = 0, nat = 4, ntyp = 3
/
ATOMIC_SPECIES
Fe 55.84 Fe.upf
Ni 58.69 Ni.upf
Mo 95.94 Mo.upf
CELL_PARAMETERS angstrom
2.609 0.000 0.000
0.000 3.614 0.000
0.000 0.000 5.183
ATOMIC_POSITIONS crystal
Fe 0.000 0.000 0.000
Fe 0.500 0.500 0.238
Ni 0.500 0.500 0.761
Mo 0.000 0.000 0.493
```